1.
Here is an optimized crystal structure of PmSn3 from the Open Quantum Materials Database. Energies are from PBE.

a = 4.756 Å, b = 4.756 Å, c = 4.756 Å
α = 90.00°, β = 90.00°, γ = 90.00°
Fractional positions:
Pm (0.000, 0.000, 0.000)
Sn (0.000, 0.500, 0.500)
Sn (0.500, 0.000, 0.500)
Sn (0.500, 0.500, 0.000)

Crystal system: cubic
Magnetization in Bohr magnetons per cell: 0.00
Electronic total energy in eV/atom: -4.68


2.
Here is an optimized crystal structure of NbAlTc from the Open Quantum Materials Database. Energies are from PBE.

a = 4.301 Å, b = 4.301 Å, c = 4.301 Å
α = 60.00°, β = 60.00°, γ = 60.00°
Fractional positions:
Nb (0.000, 0.000, 0.000)
Al (0.500, 0.500, 0.500)
Tc (0.750, 0.750, 0.750)

Crystal system: cubic
Magnetization in Bohr magnetons per cell: 0.68
Relative energy among the computed polymorphs in eV/atom: 0.598


3.
Here is an optimized crystal structure of Er2Co12P7 from the Open Quantum Materials Database. Energies are from PBE.

a = 8.963 Å, b = 8.963 Å, c = 3.562 Å
α = 90.00°, β = 90.00°, γ = 120.00°
Fractional positions:
Er (0.000, 0.000, 0.000)
Er (0.333, 0.667, 0.500)
Co (0.050, 0.769, 0.500)
Co (0.101, 0.393, 0.000)
Co (0.231, 0.280, 0.500)
Co (0.292, 0.899, 0.000)
Co (0.393, 0.215, 0.000)
Co (0.534, 0.099, 0.500)
Co (0.565, 0.466, 0.500)
Co (0.607, 0.708, 0.000)
Co (0.720, 0.950, 0.500)
Co (0.785, 0.179, 0.000)
Co (0.821, 0.607, 0.000)
Co (0.901, 0.435, 0.500)
P (0.074, 0.626, 0.000)
P (0.263, 0.042, 0.500)
P (0.374, 0.447, 0.000)
P (0.553, 0.926, 0.000)
P (0.667, 0.333, 0.000)
P (0.779, 0.737, 0.500)
P (0.958, 0.221, 0.500)

Crystal system: hexagonal
Magnetization in Bohr magnetons per cell: 4.92
Electronic total energy in eV/atom: -7.11